## CsNaMn2Zn (PBE)

Data for a relaxed structure of CsNaMn2Zn.

Lattice parameters (Å, degrees): 6.226 6.226 6.306 90.00 90.00 90.00
Positions (direct):
Cs 0.000 0.000 0.000
Na 0.500 0.500 0.500
Mn 0.000 0.500 0.000
Mn 0.500 0.000 0.000
Zn 0.000 0.000 0.500

Output
Crystal system: tetragonal
Formation energy from the elements (meV per atom): 1610
SG: P4/mmm
E_tot (eV per atom): -2.747

---

## CsMn3Nb (PBE)

Data for a relaxed structure of CsMn3Nb.

Lattice parameters (Å, degrees): 4.828 4.828 4.828 90.00 90.00 90.00
Positions (direct):
Cs 0.000 0.000 0.000
Mn 0.000 0.000 0.500
Mn 0.000 0.500 0.000
Mn 0.500 0.000 0.000
Nb 0.500 0.500 0.500

Output
Crystal system: cubic
Formation energy from the elements (meV per atom): 2579
SG: Pm-3m
E_tot (eV per atom): -5.107

---

## CsMnNb2 (PBE)

Data for a relaxed structure of CsMnNb2.

Lattice parameters (Å, degrees): 7.253 7.253 7.253 60.00 60.00 60.00
Positions (direct):
Cs 0.125 0.125 0.125
Cs 0.875 0.875 0.875
Mn 0.375 0.375 0.375
Mn 0.625 0.625 0.625
Nb 0.000 0.500 0.500
Nb 0.500 0.000 0.500
Nb 0.500 0.500 0.000
Nb 0.500 0.500 0.500

Output
Crystal system: cubic
Formation energy from the elements (meV per atom): 1622
SG: Fd-3m
E_tot (eV per atom): -5.918

---

## CsMn2Nb (PBE)

Data for a relaxed structure of CsMn2Nb.

Lattice parameters (Å, degrees): 7.144 7.144 7.144 90.00 90.00 90.00
Positions (direct):
Cs 0.000 0.000 0.000
Cs 0.000 0.500 0.500
Cs 0.500 0.000 0.500
Cs 0.500 0.500 0.000
Mn 0.250 0.250 0.250
Mn 0.250 0.250 0.750
Mn 0.250 0.750 0.250
Mn 0.250 0.750 0.750
Mn 0.750 0.250 0.250
Mn 0.750 0.250 0.750
Mn 0.750 0.750 0.250
Mn 0.750 0.750 0.750
Nb 0.000 0.000 0.500
Nb 0.000 0.500 0.000
Nb 0.500 0.000 0.000
Nb 0.500 0.500 0.500

Output
Crystal system: cubic
Formation energy from the elements (meV per atom): 1510
SG: Fm-3m
E_tot (eV per atom): -5.805

---

## CsMnNb2Ni (PBE)

Data for a relaxed structure of CsMnNb2Ni.

Lattice parameters (Å, degrees): 4.701 4.701 4.803 90.00 90.00 90.00
Positions (direct):
Cs 0.000 0.000 0.000
Mn 0.500 0.500 0.500
Nb 0.000 0.500 0.500
Nb 0.500 0.000 0.500
Ni 0.500 0.500 0.000

Output
Crystal system: tetragonal
Formation energy from the elements (meV per atom): 1283
SG: P4/mmm
E_tot (eV per atom): -5.906